[1]
A geometry-optimized ErHfS2 structure. Source: the Alexandria database, functional PBE-GGA.

```
ErHfS2
1.0
3.6138 0.0000 0.0000
1.8069 3.1296 0.0000
1.8069 1.0432 6.6883
Er Hf S
1 1 2
direct
0.4965 0.4965 0.5106
0.6696 0.6696 0.9912
0.0781 0.0781 0.7658
0.2558 0.2558 0.2325
```

Formation energy (no corrections) = -1.54 eV per atom
Relative energy among the computed polymorphs = 6 meV/atom
DOS at the Fermi energy = 2.85 states/eV/f.u.

---

[2]
A geometry-optimized ScCd2Ru structure. Source: the Alexandria database, functional PBE-GGA.

```
ScCd2Ru
1.0
-2.7104 -2.1017 4.3480
-1.8581 -0.6728 -5.1733
0.7417 -2.9284 -0.3731
Cd Ru Sc
2 1 1
direct
0.0000 0.0000 0.0000
0.5000 0.5000 0.0000
0.5000 0.0000 0.5000
0.0000 0.5000 0.5000
```

Energy relative to the elements = 0.04 eV per atom
DOS at the Fermi energy = 2.48 states/eV/f.u.